## LiCdCu2 (PBE-GGA)

Data for a geometry-optimized LiCdCu2 structure.

a = 4.2641 Å, b = 4.2641 Å, c = 4.2641 Å
α = 60.00°, β = 60.00°, γ = 60.00°
Last column: nearest neighbours and their distance in Å.
Sites, in units of the cell vectors:
Li 0.5000 0.5000 0.5000  4 Cd 2.61, 4 Cu 2.61
Cu 0.7500 0.7500 0.7500  4 Li 2.61, 4 Cu 2.61
Cu 0.0000 0.0000 0.0000  4 Cd 2.61, 4 Cu 2.61
Cd 0.2500 0.2500 0.2500  4 Li 2.61, 4 Cu 2.61

Results
Symmetry = No. 216



## Li4Cd2CuNi (PBE-GGA)

Data for a geometry-optimized Li4Cd2CuNi structure.

a = 4.3351 Å, b = 4.3351 Å, c = 6.1606 Å
α = 90.00°, β = 90.00°, γ = 90.00°
Last column: nearest neighbours and their distance in Å.
Sites, in units of the cell vectors:
Li 0.5000 0.0000 0.7519  4 Li 2.65-2.67, 2 Ni 2.65, 2 Cu 2.67
Ni 0.5000 0.5000 0.0000  4 Cd 2.64, 4 Li 2.65
Li 0.0000 0.0000 0.0000  4 Cd 2.64, 4 Li 2.65
Li 0.0000 0.5000 0.2481  4 Li 2.65-2.67, 2 Ni 2.65, 2 Cu 2.67
Cu 0.0000 0.0000 0.5000  4 Li 2.67, 4 Cd 2.68
Li 0.5000 0.5000 0.5000  4 Li 2.67, 4 Cd 2.68
Cd 0.5000 0.0000 0.2438  4 Li 2.64-2.68, 2 Ni 2.64, 2 Cu 2.68
Cd 0.0000 0.5000 0.7562  4 Li 2.64-2.68, 2 Ni 2.64, 2 Cu 2.68

Results
Symmetry = No. 115
Size of the total moment = 0.004 μB/f.u.



## Li4CdCuPd2 (PBE-GGA)

Data for a geometry-optimized Li4CdCuPd2 structure.

a = 4.3156 Å, b = 4.3156 Å, c = 6.1854 Å
α = 90.00°, β = 90.00°, γ = 90.00°
Last column: nearest neighbours and their distance in Å.
Sites, in units of the cell vectors:
Pd 0.0000 0.5000 0.2710  2 Cu 2.58, 5 Li 2.58-2.84, 2 Cd 2.73
Li 0.0000 0.5000 0.7304  2 Cu 2.59, 4 Li 2.59-2.73, 2 Cd 2.73, 1 Pd 2.84
Li 0.0000 0.0000 0.5000  4 Pd 2.58, 4 Li 2.59
Cu 0.5000 0.5000 0.5000  4 Pd 2.58, 4 Li 2.59
Li 0.5000 0.5000 0.0000  4 Li 2.73, 4 Pd 2.73, 4 Cd 3.05
Pd 0.5000 0.0000 0.7290  5 Li 2.58-2.84, 2 Cu 2.58, 2 Cd 2.73
Cd 0.0000 0.0000 0.0000  8 Li 2.73-3.05, 4 Pd 2.73
Li 0.5000 0.0000 0.2696  2 Cu 2.59, 4 Li 2.59-2.73, 2 Cd 2.73, 1 Pd 2.84

Results
Symmetry = No. 115



## LiCdCuPt (PBE-GGA)

Data for a geometry-optimized LiCdCuPt structure.

a = 4.3580 Å, b = 4.3580 Å, c = 4.3580 Å
α = 60.00°, β = 60.00°, γ = 60.00°
Last column: nearest neighbours and their distance in Å.
Sites, in units of the cell vectors:
Pt 0.0000 0.0000 0.0000  4 Cu 2.67, 4 Li 2.67
Cu 0.2500 0.2500 0.2500  4 Pt 2.67, 4 Cd 2.67
Li 0.7500 0.7500 0.7500  4 Cd 2.67, 4 Pt 2.67
Cd 0.5000 0.5000 0.5000  4 Li 2.67, 4 Cu 2.67

Results
E above lowest polymorph = 0 meV per atom
Symmetry = No. 216
Size of the total moment = 0.001 μB/f.u.



## Li4Cd2CuPt (PBE-GGA)

Data for a geometry-optimized Li4Cd2CuPt structure.

a = 4.3996 Å, b = 4.3996 Å, c = 6.2679 Å
α = 90.00°, β = 90.00°, γ = 90.00°
Last column: nearest neighbours and their distance in Å.
Sites, in units of the cell vectors:
Li 0.0000 0.0000 0.5000  4 Li 2.69, 4 Cd 2.74
Cu 0.0000 0.0000 0.0000  4 Cd 2.66, 4 Li 2.71
Li 0.5000 0.5000 0.0000  4 Cd 2.66, 4 Li 2.71
Cd 0.5000 0.0000 0.7610  4 Li 2.66-2.74, 2 Cu 2.66, 2 Pt 2.74
Pt 0.5000 0.5000 0.5000  4 Li 2.69, 4 Cd 2.74
Cd 0.0000 0.5000 0.2390  4 Li 2.66-2.74, 2 Cu 2.66, 2 Pt 2.74
Li 0.5000 0.0000 0.2524  4 Li 2.69-2.71, 2 Pt 2.69, 2 Cu 2.71
Li 0.0000 0.5000 0.7476  4 Li 2.69-2.71, 2 Pt 2.69, 2 Cu 2.71

Results
Symmetry = No. 115
Size of the total moment = 0.001 μB/f.u.



## Li4CdCuSi2 (PBE-GGA)

Data for a geometry-optimized Li4CdCuSi2 structure.

a = 4.2545 Å, b = 4.2545 Å, c = 6.1184 Å
α = 90.00°, β = 90.00°, γ = 90.00°
Last column: nearest neighbours and their distance in Å.
Sites, in units of the cell vectors:
Si 0.0000 0.5000 0.7751  5 Li 2.53-2.75, 2 Cu 2.53, 2 Cd 2.71
Si 0.5000 0.0000 0.2249  5 Li 2.53-2.75, 2 Cu 2.53, 2 Cd 2.71
Li 0.5000 0.0000 0.7747  4 Li 2.53-2.71, 2 Cu 2.53, 2 Cd 2.71, 1 Si 2.75
Li 0.0000 0.5000 0.2253  4 Li 2.53-2.71, 2 Cu 2.53, 2 Cd 2.71, 1 Si 2.75
Cu 0.0000 0.0000 0.0000  4 Si 2.53, 4 Li 2.53
Cd 0.5000 0.5000 0.5000  8 Li 2.71-3.01, 4 Si 2.71
Li 0.0000 0.0000 0.5000  4 Li 2.71, 4 Si 2.71, 4 Cd 3.01
Li 0.5000 0.5000 0.0000  4 Si 2.53, 4 Li 2.53

Results
Symmetry = No. 115



## Li4CdCuSn2 (PBE-GGA)

Data for a geometry-optimized Li4CdCuSn2 structure.

a = 4.5643 Å, b = 4.5643 Å, c = 6.5213 Å
α = 90.00°, β = 90.00°, γ = 90.00°
Last column: nearest neighbours and their distance in Å.
Sites, in units of the cell vectors:
Sn 0.5000 0.0000 0.7285  2 Cu 2.73, 5 Li 2.73-3.01, 2 Cd 2.89
Li 0.5000 0.5000 0.0000  4 Li 2.87, 4 Sn 2.89
Li 0.0000 0.5000 0.7325  2 Cu 2.74, 4 Li 2.74-2.87, 2 Cd 2.87, 1 Sn 3.01
Li 0.5000 0.0000 0.2675  2 Cu 2.74, 4 Li 2.74-2.87, 2 Cd 2.87, 1 Sn 3.01
Cd 0.0000 0.0000 0.0000  4 Li 2.87, 4 Sn 2.89
Li 0.0000 0.0000 0.5000  4 Sn 2.73, 4 Li 2.74
Sn 0.0000 0.5000 0.2715  2 Cu 2.73, 5 Li 2.73-3.01, 2 Cd 2.89
Cu 0.5000 0.5000 0.5000  4 Sn 2.73, 4 Li 2.74

Results
Symmetry = No. 115



## LuCd2Cu (PBE-GGA)

Data for a geometry-optimized LuCd2Cu structure.

a = 4.7935 Å, b = 4.7935 Å, c = 4.7935 Å
α = 60.00°, β = 60.00°, γ = 60.00°
Last column: nearest neighbours and their distance in Å.
Sites, in units of the cell vectors:
Cu 0.2500 0.2500 0.2500  4 Lu 2.94, 4 Cd 2.94
Cd 0.0000 0.0000 0.0000  4 Cd 2.94, 4 Cu 2.94
Lu 0.5000 0.5000 0.5000  4 Cd 2.94, 4 Cu 2.94
Cd 0.7500 0.7500 0.7500  4 Lu 2.94, 4 Cd 2.94

Results
Symmetry = No. 216
Size of the total moment = 0.002 μB/f.u.



no.,electronic total energy (eV for the cell shown)
1,-10.4
2,-19.6
3,-25.3
4,-13.8
5,-21.5
6,-25.1
7,-22.9
8,-10.7